(1)
{"formula": "Pa2Co2Pt", "functional": "PBE", "state": "relaxed", "lattice": [[-2.1220, 2.9662, 3.4953], [2.1220, -2.9662, 3.4953], [2.1220, 2.9662, -3.4953]], "species": ["Pa", "Pa", "Co", "Co", "Pt"], "frac_coords": [[0.2080, 0.2080, 0.0000], [0.7920, 0.7920, 0.0000], [0.2085, 0.5000, 0.7085], [0.7915, 0.5000, 0.2915], [0.5000, 0.0000, 0.5000]], "formation_enthalpy_0k_kj_per_mol_fu": -292, "magnetic_moment_mub_per_cell": 0.0, "crystal_system": "orthorhombic", "volume_a3_per_cell": 88.0}



(2)
{"formula": "Pa5Co2Pt5", "functional": "PBE", "state": "relaxed", "lattice": [[7.9024, -1.8841, 0.0000], [7.9024, 1.8841, 0.0000], [-7.4111, 0.0000, 8.2591]], "species": ["Pa", "Pa", "Pa", "Pa", "Pa", "Co", "Co", "Pt", "Pt", "Pt", "Pt", "Pt"], "frac_coords": [[0.0000, 0.0000, 0.0000], [0.1056, 0.1056, 0.3980], [0.1991, 0.1991, 0.8133], [0.8009, 0.8009, 0.1867], [0.8944, 0.8944, 0.6020], [0.3908, 0.3908, 0.7687], [0.6092, 0.6092, 0.2313], [0.2662, 0.2662, 0.3389], [0.4069, 0.4069, 0.1339], [0.5000, 0.5000, 0.5000], [0.5931, 0.5931, 0.8661], [0.7338, 0.7338, 0.6611]], "formation_enthalpy_0k_kj_per_mol_fu": -924, "magnetic_moment_mub_per_cell": 0.0, "crystal_system": "monoclinic", "volume_a3_per_cell": 245.9}



(3)
{"formula": "Pa3CoPt", "functional": "PBE", "state": "relaxed", "lattice": [[8.9408, 0.0000, 0.0000], [0.0000, 6.7829, 0.0000], [-2.2067, 0.0000, 7.1717]], "species": ["Pa", "Pa", "Pa", "Pa", "Pa", "Pa", "Pa", "Pa", "Pa", "Pa", "Pa", "Pa", "Co", "Co", "Co", "Co", "Pt", "Pt", "Pt", "Pt"], "frac_coords": [[0.1014, 0.0497, 0.2292], [0.1014, 0.4503, 0.7292], [0.3003, 0.1932, 0.5948], [0.3003, 0.3068, 0.0948], [0.3643, 0.6701, 0.4817], [0.3643, 0.8299, 0.9817], [0.6357, 0.1701, 0.0183], [0.6357, 0.3299, 0.5183], [0.6997, 0.6932, 0.9052], [0.6997, 0.8068, 0.4052], [0.8986, 0.5497, 0.2708], [0.8986, 0.9503, 0.7708], [0.4351, 0.0189, 0.3214], [0.4351, 0.4811, 0.8214], [0.5649, 0.5189, 0.1786], [0.5649, 0.9811, 0.6786], [0.0885, 0.6800, 0.0489], [0.0885, 0.8200, 0.5489], [0.9115, 0.1800, 0.4511], [0.9115, 0.3200, 0.9511]], "formation_enthalpy_0k_kj_per_mol_fu": -185, "magnetic_moment_mub_per_cell": 0.0, "crystal_system": "monoclinic", "volume_a3_per_cell": 434.9}



(4)
{"formula": "Pa4CoPt", "functional": "PBE", "state": "relaxed", "lattice": [[6.8643, 0.0000, 0.0000], [0.0000, 6.8643, 0.0000], [0.0000, 0.0000, 5.4928]], "species": ["Pa", "Pa", "Pa", "Pa", "Pa", "Pa", "Pa", "Pa", "Co", "Co", "Pt", "Pt"], "frac_coords": [[0.1442, 0.3358, 0.0000], [0.1442, 0.6642, 0.5000], [0.3358, 0.1442, 0.5000], [0.3358, 0.8558, 0.0000], [0.6642, 0.1442, 0.0000], [0.6642, 0.8558, 0.5000], [0.8558, 0.3358, 0.5000], [0.8558, 0.6642, 0.0000], [0.0000, 0.0000, 0.2500], [0.0000, 0.0000, 0.7500], [0.5000, 0.5000, 0.2500], [0.5000, 0.5000, 0.7500]], "formation_enthalpy_0k_kj_per_mol_fu": -230, "magnetic_moment_mub_per_cell": 0.0, "crystal_system": "tetragonal", "volume_a3_per_cell": 258.8}



(5)
{"formula": "Pa3CoPt2", "functional": "PBE", "state": "relaxed", "lattice": [[4.9141, 0.0000, 0.0000], [0.0005, 7.2180, 0.0000], [2.4561, 2.6970, 7.1223]], "species": ["Pa", "Pa", "Pa", "Pa", "Pa", "Pa", "Co", "Co", "Pt", "Pt", "Pt", "Pt"], "frac_coords": [[0.0282, 0.2534, 0.4425], [0.3400, 0.3185, 0.8199], [0.3826, 0.8973, 0.7342], [0.6174, 0.1027, 0.2658], [0.6600, 0.6815, 0.1801], [0.9718, 0.7466, 0.5575], [0.4883, 0.6621, 0.5254], [0.5117, 0.3379, 0.4746], [0.1798, 0.9527, 0.1413], [0.2153, 0.5511, 0.0694], [0.7847, 0.4489, 0.9306], [0.8202, 0.0473, 0.8587]], "formation_enthalpy_0k_kj_per_mol_fu": -363, "magnetic_moment_mub_per_cell": 0.0, "crystal_system": "triclinic", "volume_a3_per_cell": 252.6}



(6)
{"formula": "PaCoPt2", "functional": "PBE", "state": "relaxed", "lattice": [[-1.9768, 1.9768, 4.3376], [1.9768, -1.9768, 4.3376], [1.9768, 1.9768, -4.3376]], "species": ["Pa", "Co", "Pt", "Pt"], "frac_coords": [[0.0000, 0.0000, 0.0000], [0.5000, 0.5000, 0.0000], [0.2500, 0.7500, 0.5000], [0.7500, 0.2500, 0.5000]], "formation_enthalpy_0k_kj_per_mol_fu": -280, "magnetic_moment_mub_per_cell": 0.0, "crystal_system": "tetragonal", "volume_a3_per_cell": 67.8}



(7)
{"formula": "PaCo2Pt", "functional": "PBE", "state": "relaxed", "lattice": [[2.1592, 1.2466, 3.8371], [-2.1592, 1.2466, 3.8371], [0.0000, -2.4933, 3.8371]], "species": ["Pa", "Co", "Co", "Pt"], "frac_coords": [[0.0000, 0.0000, 0.0000], [0.2749, 0.2749, 0.2749], [0.7251, 0.7251, 0.7251], [0.5000, 0.5000, 0.5000]], "formation_enthalpy_0k_kj_per_mol_fu": -159, "magnetic_moment_mub_per_cell": 0.0, "crystal_system": "trigonal", "volume_a3_per_cell": 62.0}



(8)
{"formula": "Pa2Co3Pt2", "functional": "PBE", "state": "relaxed", "lattice": [[-3.9032, 3.9032, 3.9032], [3.9032, -3.9032, 3.9032], [3.9032, 3.9032, -3.9032]], "species": ["Pa", "Pa", "Pa", "Pa", "Co", "Co", "Co", "Co", "Co", "Co", "Pt", "Pt", "Pt", "Pt"], "frac_coords": [[0.0000, 0.9994, 0.5000], [0.5000, 0.0000, 0.9994], [0.5006, 0.5006, 0.5006], [0.9994, 0.5000, 0.0000], [0.0399, 0.2500, 0.2899], [0.2101, 0.4601, 0.7500], [0.2500, 0.2899, 0.0399], [0.2899, 0.0399, 0.2500], [0.4601, 0.7500, 0.2101], [0.7500, 0.2101, 0.4601], [0.0000, 0.6109, 0.5000], [0.5000, 0.0000, 0.6109], [0.6109, 0.5000, 0.0000], [0.8891, 0.8891, 0.8891]], "formation_enthalpy_0k_kj_per_mol_fu": -375, "magnetic_moment_mub_per_cell": 0.0, "crystal_system": "cubic", "volume_a3_per_cell": 237.9}



Repeat the seventh record exactly.
{"formula": "PaCo2Pt", "functional": "PBE", "state": "relaxed", "lattice": [[2.1592, 1.2466, 3.8371], [-2.1592, 1.2466, 3.8371], [0.0000, -2.4933, 3.8371]], "species": ["Pa", "Co", "Co", "Pt"], "frac_coords": [[0.0000, 0.0000, 0.0000], [0.2749, 0.2749, 0.2749], [0.7251, 0.7251, 0.7251], [0.5000, 0.5000, 0.5000]], "formation_enthalpy_0k_kj_per_mol_fu": -159, "magnetic_moment_mub_per_cell": 0.0, "crystal_system": "trigonal", "volume_a3_per_cell": 62.0}